Below is a PBEsol-optimized structure of RbTl2In2, with properties calculated at the SCAN level.

The structure in extended XYZ format:
```
10
Lattice="9.3561 0.0000 0.0000 0.0000 9.3561 0.0000 0.0000 0.0000 3.4332" Properties=species:S:1:pos:R:3 pbc="T T T"
Rb 0.0000 0.0000 0.0000
Rb 4.6781 4.6781 0.0000
Tl 1.3422 3.3359 0.0000
Tl 3.3359 8.0140 0.0000
Tl 6.0202 1.3422 0.0000
Tl 8.0140 6.0202 0.0000
In 1.3693 6.0474 1.7166
In 3.3087 1.3693 1.7166
In 6.0474 7.9868 1.7166
In 7.9868 3.3087 1.7166
```

The value obtained for the energy of formation is -0.0734 eV/atom. For the total magnetic moment, the calculation gives 0.00 μB/f.u. Its final energy is -46.5192 eV per atom. Its distance to the lowest polymorph of the same formula is 9.1 kJ/mol of atoms.